Material: LaAg2I
Method: DFT, PBE
State: optimized geometry

Cell and atoms, written as POSCAR:
```
LaAg2I
1.0
0.0000 3.7951 3.7951
3.7951 0.0000 3.7951
3.7951 3.7951 0.0000
La Ag I
1 2 1
Cartesian
0.0000 0.0000 0.0000
1.8975 1.8975 1.8975
5.6926 5.6926 5.6926
3.7951 3.7951 3.7951
```

Computed properties:
Theoretical density   7.3 g/cm³
Offset from the most stable computed form   0.403 eV/f.u.
E_form (uncorrected)   -0.12 eV/atom
SG   Fm-3m (225)
Final energy   -12.64 eV per cell